# Pr2ErTmSe6, optimized geometry, DFT PBE
data_Pr2ErTmSe6
_chemical_formula_sum 'Pr6 Er3 Tm3 Se18'
_symmetry_space_group_name_H-M 'R 3'
_symmetry_Int_Tables_number 146
_symmetry_space_group_name_Hall 'R 3'
_cell_length_a 7.3495
_cell_length_b 7.3495
_cell_length_c 19.4094
_cell_angle_alpha 90.00
_cell_angle_beta 90.00
_cell_angle_gamma 120.00
loop_
_atom_site_label
_atom_site_fract_x
_atom_site_fract_y
_atom_site_fract_z
Pr1 0.0000 0.0000 0.0000
Pr2 0.0000 0.0000 0.4998
Er1 0.0000 0.0000 0.2023
Tm1 0.0000 0.0000 0.7021
Se1 0.0479 0.3520 0.7748
Se2 0.0485 0.6949 0.2750
# Energy relative to the elements, uncorrected = -1773 kJ/mol of formula units